No. 1
A relaxed structure of CaScCl2, computed with PBE.

## Properties
energy above the lowest structure with this stoichiometry	1.872	eV/f.u.
space group	Fm-3m
E_form (uncorrected)	-0.935	eV/atom
theoretical density	3.15	g cm⁻³
total magnetization	1.26	μB/f.u.

abc: 4.880 4.880 4.880
angles: 60.00 60.00 60.00
Atoms (fractional coordinates):
Ca (0.000, 0.000, 0.000)
Sc (0.500, 0.500, 0.500)
Cl (0.250, 0.250, 0.250)
Cl (0.750, 0.750, 0.750)

No. 2
A relaxed structure of CaScCl2, computed with PBE.

## Properties
energy above the lowest structure with this stoichiometry	0.868	eV/f.u.
space group	P2/m
E_form (uncorrected)	-1.186	eV/atom
theoretical density	2.64	g cm⁻³
total magnetization	0.36	μB/f.u.

abc: 3.699 4.303 6.190
angles: 90.00 95.08 90.00
Atoms (fractional coordinates):
Ca (0.000, 0.000, 0.000)
Sc (0.500, 0.000, 0.500)
Cl (0.340, 0.500, 0.250)
Cl (0.660, 0.500, 0.750)

No. 3
A relaxed structure of Ca2ScCl, computed with PBE.

## Properties
energy above the lowest structure with this stoichiometry	0.964	eV/f.u.
space group	P4mm
E_form (uncorrected)	-0.457	eV/atom
theoretical density	1.96	g cm⁻³
total magnetization	1.28	μB/f.u.

abc: 3.513 3.513 11.021
angles: 90.00 90.00 90.00
Atoms (fractional coordinates):
Ca (0.000, 0.000, 0.000)
Ca (0.500, 0.500, 0.288)
Sc (0.500, 0.500, 0.770)
Cl (0.000, 0.000, 0.420)

No. 4
A relaxed structure of CaScCl2, computed with PBE.

## Properties
energy above the lowest structure with this stoichiometry	3.933	eV/f.u.
space group	F-43m
E_form (uncorrected)	-0.420	eV/atom
theoretical density	2.43	g cm⁻³
total magnetization	2.86	μB/f.u.

abc: 5.321 5.321 5.321
angles: 60.00 60.00 60.00
Atoms (fractional coordinates):
Ca (0.000, 0.000, 0.000)
Sc (0.250, 0.250, 0.250)
Cl (0.500, 0.500, 0.500)
Cl (0.750, 0.750, 0.750)

No. 5
A relaxed structure of CaScCl2, computed with PBE.

## Properties
energy above the lowest structure with this stoichiometry	1.271	eV/f.u.
space group	I-42d
E_form (uncorrected)	-1.085	eV/atom
theoretical density	2.27	g cm⁻³
total magnetization	0.00	μB/f.u.

abc: 7.488 7.488 7.488
angles: 131.80 131.80 70.54
Atoms (fractional coordinates):
Ca (0.000, 0.000, 0.000)
Ca (0.750, 0.250, 0.500)
Sc (0.250, 0.750, 0.500)
Sc (0.500, 0.500, 0.000)
Cl (0.150, 0.625, 0.025)
Cl (0.375, 0.400, 0.525)
Cl (0.600, 0.125, 0.975)
Cl (0.875, 0.850, 0.475)

No. 6
A relaxed structure of CaScCl2, computed with PBE.

## Properties
energy above the lowest structure with this stoichiometry	0.000	eV/f.u.
space group	Cm
E_form (uncorrected)	-1.403	eV/atom
theoretical density	2.33	g cm⁻³
total magnetization	0.72	μB/f.u.

abc: 9.460 9.460 3.457
angles: 90.15 90.15 21.04
Atoms (fractional coordinates):
Ca (0.000, 0.000, 0.000)
Sc (0.349, 0.349, 0.498)
Cl (0.577, 0.577, 0.501)
Cl (0.782, 0.782, 0.997)